Computed, not measured: crystalline BeSb2TeF at its relaxed geometry at the PBEsol level of DFT. Values from VASP.

Properties
spin magnetization: 0.000 μB per cell
total energy: -3.631 eV/atom
E_form (uncorrected): 0.083 eV per atom

Cell and atoms, written as Quantum ESPRESSO input:
```
&SYSTEM
  ibrav = 0, nat = 5, ntyp = 4
/
ATOMIC_SPECIES
Be 9.01 Be.upf
Sb 121.76 Sb.upf
Te 127.60 Te.upf
F 19.00 F.upf
CELL_PARAMETERS angstrom
4.789 0.000 0.000
0.000 4.789 0.000
0.000 0.000 4.807
ATOMIC_POSITIONS crystal
Be 0.000 0.000 0.000
Sb 0.000 0.500 0.000
Sb 0.500 0.000 0.000
Te 0.000 0.000 0.500
F 0.500 0.500 0.500
```